Density functional theory data (PBE with a Hubbard U) for crystalline PuFe3B4O12 at its relaxed geometry.

a = 6.1585 Å, b = 6.1585 Å, c = 6.1585 Å
α = 103.83°, β = 103.83°, γ = 103.83°
Each line ends with the local moment (μB).
Fractional positions:
Fe  0.5512  0.4488  0.0000  4.40
Fe  0.0000  0.5512  0.4488  4.40
Fe  0.4488  0.0000  0.5512  4.40
B  0.5000  0.9461  0.0539  0.02
B  0.9461  0.0539  0.5000  0.02
B  0.5000  0.5000  0.5000  0.03
B  0.0539  0.5000  0.9461  0.02
Pu  0.0000  0.0000  0.0000  5.00
O  0.0895  0.9105  0.5000  0.13
O  0.0308  0.6266  0.7897  0.08
O  0.7897  0.0308  0.6266  0.08
O  0.9105  0.5000  0.0895  0.13
O  0.3734  0.9692  0.2103  0.08
O  0.6266  0.7897  0.0308  0.08
O  0.3566  0.6434  0.5000  0.16
O  0.6434  0.5000  0.3566  0.16
O  0.5000  0.3566  0.6434  0.16
O  0.5000  0.0895  0.9105  0.13
O  0.9692  0.2103  0.3734  0.08
O  0.2103  0.3734  0.9692  0.08

Computed properties:
energy	-8.0171	eV per atom
N(E_F)	15.43	states/eV/f.u.
magnetic moment	20.0	μB/cell